The following is a GGA-PBE calculation of an optimized crystal structure of BaAcPb6, from Alexandria via LeMat-Bulk.

Summary:
V = 270 Å³/f.u.
Calculated formation energy = -0.350 eV per atom
Magnetic moment = 0.0 μB/f.u.
Crystal system = orthorhombic

abc: 6.002 7.208 7.208
angles: 120.04 90.00 90.00
Sites, in units of the cell vectors:
Ba 0.500 0.417 0.583
Pb 0.000 0.055 0.403
Pb 0.000 0.597 0.403
Pb 0.500 0.903 0.097
Pb 0.000 0.597 0.945
Pb 0.500 0.444 0.097
Pb 0.500 0.903 0.556
Ac 0.000 0.083 0.917

=====

The following is a GGA-PBE calculation of an optimized crystal structure of Pm4MgNi, from Alexandria via LeMat-Bulk.

Summary:
V = 170 Å³/f.u.
Calculated formation energy = -0.169 eV per atom
Magnetic moment = 0.0 μB/f.u.
Crystal system = cubic

abc: 9.865 9.865 9.865
angles: 60.00 60.00 60.00
Sites, in units of the cell vectors:
Ni 0.177 0.608 0.608
Ni 0.608 0.177 0.608
Ni 0.608 0.608 0.177
Ni 0.608 0.608 0.608
Mg 0.488 0.171 0.171
Mg 0.171 0.488 0.171
Mg 0.171 0.171 0.171
Mg 0.171 0.171 0.488
Pm 0.404 0.788 0.404
Pm 0.939 0.939 0.561
Pm 0.561 0.939 0.939
Pm 0.186 0.814 0.814
Pm 0.404 0.404 0.404
Pm 0.939 0.561 0.939
Pm 0.186 0.814 0.186
Pm 0.404 0.404 0.788
Pm 0.186 0.186 0.814
Pm 0.561 0.939 0.561
Pm 0.939 0.561 0.561
Pm 0.561 0.561 0.939
Pm 0.814 0.186 0.814
Pm 0.814 0.186 0.186
Pm 0.788 0.404 0.404
Pm 0.814 0.814 0.186

=====

The following is a GGA-PBE calculation of an optimized crystal structure of Ti2SeClO, from Alexandria via LeMat-Bulk.

Summary:
V = 85 Å³/f.u.
Final energy = -5.809 eV/atom
Magnetic moment = 0.0 μB/f.u.
Crystal system = tetragonal

abc: 4.072 5.151 4.072
angles: 90.00 90.00 90.00
Sites, in units of the cell vectors:
Ti 0.500 0.000 0.000
Ti 0.000 0.000 0.500
Se 0.500 0.500 0.500
O 0.000 0.000 0.000
Cl 0.000 0.500 0.000

=====

The following is a GGA-PBE calculation of an optimized crystal structure of YZrNi3, from Alexandria via LeMat-Bulk.

Summary:
V = 100 Å³/f.u.
Calculated formation energy = 0.909 eV per atom
Magnetic moment = 0.0 μB/f.u.
Crystal system = cubic

abc: 4.634 4.634 4.634
angles: 90.00 90.00 90.00
Sites, in units of the cell vectors:
Zr 0.500 0.500 0.500
Ni 0.000 0.000 0.500
Ni 0.000 0.500 0.000
Ni 0.500 0.000 0.000
Y 0.000 0.000 0.000

=====

The following is a GGA-PBE calculation of an optimized crystal structure of Ce2H2Os, from Alexandria via LeMat-Bulk.

Summary:
V = 79 Å³/f.u.
Final energy = -6.215 eV/atom
Magnetic moment = 1.1 μB/f.u.
Crystal system = tetragonal

abc: 3.374 3.374 6.965
angles: 90.00 90.00 90.00
Site moments in Bohr magnetons follow the coordinates.
Sites, in units of the cell vectors:
Os 0.000 0.000 0.000  -0.11
Ce 0.500 0.500 0.258  0.52
Ce 0.500 0.500 0.742  0.52
H 0.500 0.000 0.500  -0.01
H 0.000 0.500 0.500  -0.01

=====

The following is a GGA-PBE calculation of an optimized crystal structure of BaCaOs, from Alexandria via LeMat-Bulk.

Summary:
V = 88 Å³/f.u.
Calculated formation energy = 1.366 eV per atom
Magnetic moment = 0.0 μB/f.u.
Crystal system = cubic

abc: 4.985 4.985 4.985
angles: 60.00 60.00 60.00
Sites, in units of the cell vectors:
Ca 0.000 0.000 0.000
Os 0.500 0.500 0.500
Ba 0.750 0.750 0.750

=====

The following is a GGA-PBE calculation of an optimized crystal structure of AcInRu, from Alexandria via LeMat-Bulk.

Summary:
V = 78 Å³/f.u.
Calculated formation energy = -0.279 eV per atom
Magnetic moment = 0.0 μB/f.u.
Crystal system = monoclinic

abc: 4.524 6.544 6.159
angles: 74.16 68.45 69.78
Sites, in units of the cell vectors:
Ru 0.127 0.334 0.411
Ru 0.873 0.666 0.589
In 0.195 0.907 0.703
In 0.805 0.093 0.297
Ac 0.429 0.321 0.821
Ac 0.571 0.679 0.179

=====

The following is a GGA-PBE calculation of an optimized crystal structure of DyAlSn2, from Alexandria via LeMat-Bulk.

Summary:
V = 95 Å³/f.u.
Calculated formation energy = -0.384 eV per atom
Magnetic moment = 0.0 μB/f.u.
Crystal system = tetragonal

abc: 4.500 4.605 4.605
angles: 90.00 90.00 90.00
Sites, in units of the cell vectors:
Al 0.500 0.000 0.000
Sn 0.000 0.500 0.000
Sn 0.000 0.000 0.500
Dy 0.500 0.500 0.500

=====

The following is a GGA-PBE calculation of an optimized crystal structure of YZn4Ag8, from Alexandria via LeMat-Bulk.

Summary:
V = 232 Å³/f.u.
Calculated formation energy = -0.135 eV per atom
Magnetic moment = 0.0 μB/f.u.
Crystal system = tetragonal

abc: 5.283 7.131 7.131
angles: 82.11 68.26 68.26
Sites, in units of the cell vectors:
Ag 0.500 0.215 0.785
Ag 0.715 0.785 0.785
Ag 0.500 0.785 0.215
Ag 0.346 0.654 0.654
Ag 0.000 0.346 0.654
Ag 0.285 0.215 0.215
Ag 0.654 0.346 0.346
Ag 0.000 0.654 0.346
Zn 0.500 0.500 0.000
Zn 0.000 0.000 0.500
Zn 0.000 0.500 0.000
Zn 0.500 0.000 0.500
Y 0.000 0.000 0.000

=====

The following is a GGA-PBE calculation of an optimized crystal structure of Ce3SiH, from Alexandria via LeMat-Bulk.

Summary:
V = 104 Å³/f.u.
Final energy = -5.672 eV/atom
Magnetic moment = 1.5 μB/f.u.
Crystal system = orthorhombic

abc: 6.287 8.494 8.494
angles: 113.85 90.00 90.00
Site moments in Bohr magnetons follow the coordinates.
Sites, in units of the cell vectors:
Ce 0.750 0.143 0.857  0.48
Ce 0.005 0.249 0.251  0.43
Ce 0.705 0.529 0.971  0.36
Ce 0.495 0.749 0.751  0.43
Ce 0.750 0.643 0.357  0.48
Ce 0.505 0.251 0.249  0.43
Ce 0.250 0.357 0.643  0.48
Ce 0.995 0.751 0.749  0.43
Ce 0.295 0.471 0.029  0.36
Ce 0.205 0.971 0.529  0.36
Ce 0.250 0.857 0.143  0.48
Ce 0.795 0.029 0.471  0.36
H 0.260 0.132 0.368  0.00
H 0.760 0.368 0.132  0.00
H 0.240 0.632 0.868  0.00
H 0.740 0.868 0.632  0.00
Si 0.250 0.088 0.912  -0.01
Si 0.750 0.412 0.588  -0.01
Si 0.250 0.588 0.412  -0.01
Si 0.750 0.912 0.088  -0.01

=====

The following is a GGA-PBE calculation of an optimized crystal structure of Li2CuW, from Alexandria via LeMat-Bulk.

Summary:
V = 61 Å³/f.u.
Calculated formation energy = 0.269 eV per atom
Magnetic moment = 0.0 μB/f.u.
Crystal system = orthorhombic

abc: 2.617 2.617 9.324
angles: 90.00 90.00 107.63
Sites, in units of the cell vectors:
Li 0.000 0.000 0.977
Li 0.500 0.500 0.260
Cu 0.500 0.500 0.749
W 0.000 0.000 0.515

=====

The following is a GGA-PBE calculation of an optimized crystal structure of CaTa2Tl, from Alexandria via LeMat-Bulk.

Summary:
V = 93 Å³/f.u.
Calculated formation energy = 0.269 eV per atom
Magnetic moment = 0.0 μB/f.u.
Crystal system = tetragonal

abc: 3.548 3.548 7.425
angles: 90.00 90.00 90.00
Sites, in units of the cell vectors:
Ca 0.500 0.500 0.758
Ta 0.000 0.000 0.058
Ta 0.500 0.500 0.212
Tl 0.000 0.000 0.472